# 1
# NdSm2PaSb5 | the Alexandria database | PBE-GGA | relaxed
data_NdSm2PaSb5
_space_group_name_H-M_alt 'P 1'
_space_group_IT_number 1
_cell_length_a 5.4563
_cell_length_b 5.4563
_cell_length_c 11.8215
_cell_angle_alpha 90.00
_cell_angle_beta 90.00
_cell_angle_gamma 90.00
loop_
_space_group_symop_operation_xyz
'x,y,z'
loop_
_atom_site_label
_atom_site_type_symbol
_atom_site_fract_x
_atom_site_fract_y
_atom_site_fract_z
Nd1 Nd 0.0000 0.0000 0.0000
Sm1 Sm 0.5000 0.5000 0.2691
Sm2 Sm 0.5000 0.5000 0.7309
Pa1 Pa 0.0000 0.0000 0.5000
Sb1 Sb 0.0000 0.0000 0.2498
Sb2 Sb 0.0000 0.0000 0.7502
Sb3 Sb 0.0000 0.5000 0.5000
Sb4 Sb 0.5000 0.0000 0.5000
Sb5 Sb 0.5000 0.5000 0.0000
# spin magnetization: 0.000 μB/f.u.
# formation energy without anion corrections: -0.171 eV/atom
# N(E_F): 0.602 states/eV/atom
# electronic total energy: -5.0945 eV/atom

***

# 2
# Ta2CdNi | the Alexandria database | PBE-GGA | relaxed
data_Ta2CdNi
_space_group_name_H-M_alt 'P 1'
_space_group_IT_number 1
_cell_length_a 5.8498
_cell_length_b 5.8498
_cell_length_c 5.8498
_cell_angle_alpha 102.02
_cell_angle_beta 102.02
_cell_angle_gamma 125.69
loop_
_space_group_symop_operation_xyz
'x,y,z'
loop_
_atom_site_label
_atom_site_type_symbol
_atom_site_fract_x
_atom_site_fract_y
_atom_site_fract_z
Ta1 Ta 0.0763 0.6250 0.9513
Ta2 Ta 0.3750 0.3263 0.4513
Ta3 Ta 0.6737 0.1250 0.0487
Ta4 Ta 0.8750 0.9237 0.5487
Cd1 Cd 0.2500 0.7500 0.5000
Cd2 Cd 0.5000 0.5000 0.0000
Ni1 Ni 0.0000 0.0000 0.0000
Ni2 Ni 0.7500 0.2500 0.5000
# spin magnetization: 0.000 μB/f.u.
# N(E_F): 0.869 states/eV/atom
# electronic total energy: -7.0841 eV/atom

***

# 3
# PmNd2Hg4 | the Alexandria database | PBE-GGA | relaxed
data_PmNd2Hg4
_space_group_name_H-M_alt 'P 1'
_space_group_IT_number 1
_cell_length_a 9.4719
_cell_length_b 9.4719
_cell_length_c 9.4719
_cell_angle_alpha 32.00
_cell_angle_beta 32.00
_cell_angle_gamma 32.00
loop_
_space_group_symop_operation_xyz
'x,y,z'
loop_
_atom_site_label
_atom_site_type_symbol
_atom_site_fract_x
_atom_site_fract_y
_atom_site_fract_z
Pm1 Pm 0.0000 0.0000 0.0000
Nd1 Nd 0.2434 0.2434 0.2434
Nd2 Nd 0.7566 0.7566 0.7566
Hg1 Hg 0.1263 0.1263 0.1263
Hg2 Hg 0.3743 0.3743 0.3743
Hg3 Hg 0.6257 0.6257 0.6257
Hg4 Hg 0.8737 0.8737 0.8737
# spin magnetization: 0.000 μB/f.u.
# offset from the most stable computed form: 0.0 meV per atom
# N(E_F): 0.921 states/eV/atom
# electronic total energy: -2.5522 eV/atom

***

# 4
# Re2SiPt | the Alexandria database | PBE-GGA | relaxed
data_Re2SiPt
_space_group_name_H-M_alt 'P 1'
_space_group_IT_number 1
_cell_length_a 2.8151
_cell_length_b 3.8443
_cell_length_c 5.4534
_cell_angle_alpha 90.00
_cell_angle_beta 90.00
_cell_angle_gamma 90.00
loop_
_space_group_symop_operation_xyz
'x,y,z'
loop_
_atom_site_label
_atom_site_type_symbol
_atom_site_fract_x
_atom_site_fract_y
_atom_site_fract_z
Re1 Re 0.0000 0.0000 0.0000
Re2 Re 0.5000 0.5000 0.2037
Si1 Si 0.0000 0.0000 0.4846
Pt1 Pt 0.5000 0.5000 0.6957
# spin magnetization: 0.000 μB/f.u.
# formation energy without anion corrections: -0.013 eV/atom
# N(E_F): 0.848 states/eV/atom
# electronic total energy: -9.1032 eV/atom

***

# 5
# Nd3RuPb2 | the Alexandria database | PBE-GGA | relaxed
data_Nd3RuPb2
_space_group_name_H-M_alt 'P 1'
_space_group_IT_number 1
_cell_length_a 7.6275
_cell_length_b 7.6275
_cell_length_c 8.3580
_cell_angle_alpha 104.29
_cell_angle_beta 104.29
_cell_angle_gamma 48.36
loop_
_space_group_symop_operation_xyz
'x,y,z'
loop_
_atom_site_label
_atom_site_type_symbol
_atom_site_fract_x
_atom_site_fract_y
_atom_site_fract_z
Nd1 Nd 0.1975 0.8025 0.7500
Nd2 Nd 0.2193 0.4529 0.3594
Nd3 Nd 0.4529 0.2193 0.8594
Nd4 Nd 0.5471 0.7807 0.1406
Nd5 Nd 0.7807 0.5471 0.6406
Nd6 Nd 0.8025 0.1975 0.2500
Ru1 Ru 0.3416 0.6584 0.2500
Ru2 Ru 0.6584 0.3416 0.7500
Pb1 Pb 0.0233 0.2745 0.0065
Pb2 Pb 0.2745 0.0233 0.5065
Pb3 Pb 0.7255 0.9767 0.4935
Pb4 Pb 0.9767 0.7255 0.9935
# spin magnetization: 0.000 μB/f.u.
# N(E_F): 0.752 states/eV/atom
# electronic total energy: -5.4914 eV/atom

***

# 6
# YBPt3 | the Alexandria database | PBE-GGA | relaxed
data_YBPt3
_space_group_name_H-M_alt 'P 1'
_space_group_IT_number 1
_cell_length_a 5.7908
_cell_length_b 5.7908
_cell_length_c 5.5859
_cell_angle_alpha 90.00
_cell_angle_beta 90.00
_cell_angle_gamma 120.00
loop_
_space_group_symop_operation_xyz
'x,y,z'
loop_
_atom_site_label
_atom_site_type_symbol
_atom_site_fract_x
_atom_site_fract_y
_atom_site_fract_z
Y1 Y 0.3333 0.6667 0.2500
Y2 Y 0.6667 0.3333 0.7500
B1 B 0.0000 0.0000 0.0000
B2 B 0.0000 0.0000 0.5000
Pt1 Pt 0.1715 0.3430 0.7500
Pt2 Pt 0.1715 0.8285 0.7500
Pt3 Pt 0.3430 0.1715 0.2500
Pt4 Pt 0.6570 0.8285 0.7500
Pt5 Pt 0.8285 0.1715 0.2500
Pt6 Pt 0.8285 0.6570 0.2500
# spin magnetization: 0.000 μB/f.u.
# offset from the most stable computed form: 91.5 meV per atom
# N(E_F): 0.455 states/eV/atom
# electronic total energy: -7.0227 eV/atom

***

# 7
# RbSi2RhS8 | the Alexandria database | PBE-GGA | relaxed
data_RbSi2RhS8
_space_group_name_H-M_alt 'P 1'
_space_group_IT_number 1
_cell_length_a 5.9465
_cell_length_b 5.9465
_cell_length_c 10.0099
_cell_angle_alpha 90.00
_cell_angle_beta 90.00
_cell_angle_gamma 120.00
loop_
_space_group_symop_operation_xyz
'x,y,z'
loop_
_atom_site_label
_atom_site_type_symbol
_atom_site_fract_x
_atom_site_fract_y
_atom_site_fract_z
Rb1 Rb 0.0000 0.0000 0.0000
Si1 Si 0.3333 0.6667 0.6928
Si2 Si 0.6667 0.3333 0.3072
Rh1 Rh 0.0000 0.0000 0.5000
S1 S 0.0194 0.6622 0.3822
S2 S 0.3333 0.6667 0.8977
S3 S 0.3378 0.3573 0.3822
S4 S 0.3573 0.0194 0.6178
S5 S 0.6427 0.9806 0.3822
S6 S 0.6622 0.6427 0.6178
S7 S 0.6667 0.3333 0.1023
S8 S 0.9806 0.3378 0.6178
# spin magnetization: 1.487 μB/f.u.
# formation energy without anion corrections: -0.339 eV/atom
# N(E_F): 0.687 states/eV/atom
# electronic total energy: -4.6876 eV/atom

***

# 8
# CeUC4 | the Alexandria database | PBE-GGA | relaxed
data_CeUC4
_space_group_name_H-M_alt 'P 1'
_space_group_IT_number 1
_cell_length_a 3.8549
_cell_length_b 3.8549
_cell_length_c 5.8825
_cell_angle_alpha 90.00
_cell_angle_beta 90.00
_cell_angle_gamma 99.81
loop_
_space_group_symop_operation_xyz
'x,y,z'
loop_
_atom_site_label
_atom_site_type_symbol
_atom_site_fract_x
_atom_site_fract_y
_atom_site_fract_z
Ce1 Ce 0.0000 0.0000 0.0000
U1 U 0.5000 0.5000 0.5000
C1 C 0.1133 0.8867 0.5000
C2 C 0.5000 0.5000 0.1151
C3 C 0.5000 0.5000 0.8849
C4 C 0.8867 0.1133 0.5000
# spin magnetization: 0.129 μB/f.u.
# N(E_F): 0.871 states/eV/atom
# electronic total energy: -9.1459 eV/atom

***

# 9
# InAs2Pb | the Alexandria database | PBE-GGA | relaxed
data_InAs2Pb
_space_group_name_H-M_alt 'P 1'
_space_group_IT_number 1
_cell_length_a 3.7440
_cell_length_b 3.7440
_cell_length_c 7.2543
_cell_angle_alpha 90.00
_cell_angle_beta 90.00
_cell_angle_gamma 90.00
loop_
_space_group_symop_operation_xyz
'x,y,z'
loop_
_atom_site_label
_atom_site_type_symbol
_atom_site_fract_x
_atom_site_fract_y
_atom_site_fract_z
In1 In 0.0000 0.0000 0.0000
As1 As 0.0000 0.0000 0.5989
As2 As 0.5000 0.5000 0.7116
Pb1 Pb 0.5000 0.5000 0.2954
# spin magnetization: 0.000 μB/f.u.
# offset from the most stable computed form: 123.1 meV per atom
# N(E_F): 0.459 states/eV/atom
# electronic total energy: -3.8226 eV/atom

***

# 10
# Pr5GaSb2 | the Alexandria database | PBE-GGA | relaxed
data_Pr5GaSb2
_space_group_name_H-M_alt 'P 1'
_space_group_IT_number 1
_cell_length_a 7.4164
_cell_length_b 7.4164
_cell_length_c 14.3875
_cell_angle_alpha 90.00
_cell_angle_beta 90.00
_cell_angle_gamma 130.39
loop_
_space_group_symop_operation_xyz
'x,y,z'
loop_
_atom_site_label
_atom_site_type_symbol
_atom_site_fract_x
_atom_site_fract_y
_atom_site_fract_z
Pr1 Pr 0.0568 0.9432 0.6187
Pr2 Pr 0.0568 0.9432 0.8813
Pr3 Pr 0.3054 0.6946 0.2500
Pr4 Pr 0.3557 0.6443 0.5687
Pr5 Pr 0.3557 0.6443 0.9313
Pr6 Pr 0.6443 0.3557 0.0687
Pr7 Pr 0.6443 0.3557 0.4313
Pr8 Pr 0.6946 0.3054 0.7500
Pr9 Pr 0.9432 0.0568 0.1187
Pr10 Pr 0.9432 0.0568 0.3813
Ga1 Ga 0.2306 0.7694 0.7500
Ga2 Ga 0.7694 0.2306 0.2500
Sb1 Sb 0.1721 0.8279 0.0729
Sb2 Sb 0.1721 0.8279 0.4271
Sb3 Sb 0.8279 0.1721 0.5729
Sb4 Sb 0.8279 0.1721 0.9271
# spin magnetization: 0.003 μB/f.u.
# formation energy without anion corrections: -0.429 eV/atom
# N(E_F): 1.403 states/eV/atom
# electronic total energy: -4.8256 eV/atom

***

# 11
# Li15Zn2In2 | the Alexandria database | PBE-GGA | relaxed
data_Li15Zn2In2
_space_group_name_H-M_alt 'P 1'
_space_group_IT_number 1
_cell_length_a 7.3778
_cell_length_b 7.3778
_cell_length_c 7.3778
_cell_angle_alpha 67.72
_cell_angle_beta 67.72
_cell_angle_gamma 67.72
loop_
_space_group_symop_operation_xyz
'x,y,z'
loop_
_atom_site_label
_atom_site_type_symbol
_atom_site_fract_x
_atom_site_fract_y
_atom_site_fract_z
Li1 Li 0.0000 0.0000 0.5000
Li2 Li 0.0000 0.2961 0.7039
Li3 Li 0.0000 0.5000 0.0000
Li4 Li 0.0000 0.7039 0.2961
Li5 Li 0.1891 0.5638 0.5638
Li6 Li 0.2961 0.0000 0.7039
Li7 Li 0.2961 0.7039 0.0000
Li8 Li 0.4362 0.4362 0.8109
Li9 Li 0.4362 0.8109 0.4362
Li10 Li 0.5000 0.0000 0.0000
Li11 Li 0.5638 0.1891 0.5638
Li12 Li 0.5638 0.5638 0.1891
Li13 Li 0.7039 0.0000 0.2961
Li14 Li 0.7039 0.2961 0.0000
Li15 Li 0.8109 0.4362 0.4362
Zn1 Zn 0.0884 0.0884 0.0884
Zn2 Zn 0.9116 0.9116 0.9116
In1 In 0.2842 0.2842 0.2842
In2 In 0.7158 0.7158 0.7158
# spin magnetization: 0.000 μB/f.u.
# N(E_F): 0.273 states/eV/atom
# electronic total energy: -1.9989 eV/atom

***

# 12
# Ge2P2Se | the Alexandria database | PBE-GGA | relaxed
data_Ge2P2Se
_space_group_name_H-M_alt 'P 1'
_space_group_IT_number 1
_cell_length_a 7.7760
_cell_length_b 7.7760
_cell_length_c 7.7760
_cell_angle_alpha 153.19
_cell_angle_beta 153.19
_cell_angle_gamma 38.28
loop_
_space_group_symop_operation_xyz
'x,y,z'
loop_
_atom_site_label
_atom_site_type_symbol
_atom_site_fract_x
_atom_site_fract_y
_atom_site_fract_z
Ge1 Ge 0.1047 0.1047 0.0000
Ge2 Ge 0.8953 0.8953 0.0000
P1 P 0.2500 0.7500 0.5000
P2 P 0.7500 0.2500 0.5000
Se1 Se 0.5000 0.5000 0.0000
# spin magnetization: 0.000 μB/f.u.
# formation energy without anion corrections: 0.239 eV/atom
# N(E_F): 0.361 states/eV/atom
# electronic total energy: -4.4685 eV/atom